Record 1
## Ca2BeRu (PBE)

Data for Ca2BeRu after structural relaxation.

Its electronic total energy is -3.34 eV/atom. For the total magnetization, the calculation gives 1.1 μB/f.u.

It has space group I-42d (No. 122), with a = 4.1335 Å, b = 4.1335 Å, c = 19.5897 Å, α = 90.00°, β = 90.00° and γ = 90.00°. Symmetry generates all atoms from Ca at (0.2455, 0.2500, 0.1250), Be at (0.0000, 0.0000, 0.5000) and Ru at (0.0000, 0.0000, 0.0000).

***

Record 2
## TcCCl2 (PBE)

Data for TcCCl2 after structural relaxation.

Its electronic total energy is -4.17 eV/atom. The raw formation energy comes out at 6.6 eV per formula unit. For the offset from the most stable computed form, the calculation gives 1123 meV per atom. For the total magnetization, the calculation gives 1.2 μB/f.u.

It has space group R-3m (No. 166, hexagonal axes), with a = 3.0848 Å, b = 3.0848 Å, c = 23.9332 Å, α = 90.00°, β = 90.00° and γ = 120.00°. Symmetry generates all atoms from Tc at (0.0000, 0.0000, 0.0000), C at (0.0000, 0.0000, 0.5000) and Cl at (0.0000, 0.0000, 0.4081).

***

Record 3
## PuGa4Pt2Au (PBE)

Data for PuGa4Pt2Au after structural relaxation.

Its electronic total energy is -5.69 eV/atom. For the total magnetization, the calculation gives 5.5 μB/f.u.

It has space group R-3m (No. 166, hexagonal axes), with a = 4.3133 Å, b = 4.3133 Å, c = 27.3801 Å, α = 90.00°, β = 90.00° and γ = 120.00°. Symmetry generates all atoms from Pu at (0.0000, 0.0000, 0.0000), Ga at (0.0000, 0.0000, 0.1231), Ga at (0.0000, 0.0000, 0.3959), Pt at (0.0000, 0.0000, 0.2504) and Au at (0.0000, 0.0000, 0.5000).

***

Record 4
## LaSc2Hg (PBE)

Data for LaSc2Hg after structural relaxation.

Its electronic total energy is -4.62 eV/atom. For the total magnetization, the calculation gives 0.0 μB/f.u.

It has space group Imm2 (No. 44), with a = 3.6676 Å, b = 5.1577 Å, c = 11.0882 Å, α = 90.00°, β = 90.00° and γ = 90.00°. Symmetry generates all atoms from La at (0.0000, 0.0000, 0.0000), Sc at (0.0000, 0.0000, 0.4527), Sc at (0.0000, 0.5000, 0.2241) and Hg at (0.0000, 0.5000, 0.7489).

***

Record 5
## La2CeCdN (PBE)

Data for La2CeCdN after structural relaxation.

Its electronic total energy is -5.70 eV/atom. The raw formation energy comes out at -3.5 eV per formula unit. For the total magnetization, the calculation gives 0.8 μB/f.u.

It has space group P4/mmm (No. 123), with a = 5.1678 Å, b = 5.1678 Å, c = 4.8695 Å, α = 90.00°, β = 90.00° and γ = 90.00°. Symmetry generates all atoms from La at (0.0000, 0.5000, 0.0000), Ce at (0.0000, 0.0000, 0.5000), Cd at (0.5000, 0.5000, 0.5000) and N at (0.0000, 0.0000, 0.0000).

***

Record 6
## SnBi2IrS (PBE)

Data for SnBi2IrS after structural relaxation.

Its electronic total energy is -4.72 eV/atom. The raw formation energy comes out at 1.2 eV per formula unit. For the total magnetization, the calculation gives 0.0 μB/f.u.

It has space group P4/mmm (No. 123), with a = 5.7736 Å, b = 5.7736 Å, c = 4.2442 Å, α = 90.00°, β = 90.00° and γ = 90.00°. Symmetry generates all atoms from Sn at (0.0000, 0.0000, 0.0000), Bi at (0.0000, 0.5000, 0.5000), Ir at (0.5000, 0.5000, 0.5000) and S at (0.5000, 0.5000, 0.0000).